No. 1
A geometry-optimized SrCdIn2Ni structure. Source: the Alexandria database, functional GGA-PBE.

Calculated values
Energy relative to the lowest polymorph listed for this composition: 81 meV per atom
DFT total energy: -2.92 eV per atom
ΔH_f (0 K): -0.145 eV/atom
D(E_F): 0.549 states/eV per atom
Space group: No. 123

a = 5.0128 Å, b = 5.0128 Å, c = 5.5632 Å
α = 90.00°, β = 90.00°, γ = 90.00°
Atoms (fractional coordinates):
Sr 0.0000 0.0000 0.5000
In 0.0000 0.5000 0.0000
In 0.5000 0.0000 0.0000
Ni 0.0000 0.0000 0.0000
Cd 0.5000 0.5000 0.5000

***

No. 2
A geometry-optimized TbCdInNi structure. Source: the Alexandria database, functional GGA-PBE.

Calculated values
DFT total energy: -3.77 eV per atom
ΔH_f (0 K): -0.252 eV/atom
D(E_F): 0.648 states/eV per atom
Space group: No. 216

a = 4.8664 Å, b = 4.8664 Å, c = 4.8664 Å
α = 60.00°, β = 60.00°, γ = 60.00°
Atoms (fractional coordinates):
Ni 0.7500 0.7500 0.7500
In 0.5000 0.5000 0.5000
Tb 0.0000 0.0000 0.0000
Cd 0.2500 0.2500 0.2500

***

No. 3
A geometry-optimized ThCdInNi structure. Source: the Alexandria database, functional GGA-PBE.

Calculated values
DFT total energy: -4.37 eV per atom
ΔH_f (0 K): -0.155 eV/atom
D(E_F): 0.565 states/eV per atom
Space group: No. 216

a = 4.9956 Å, b = 4.9956 Å, c = 4.9956 Å
α = 60.00°, β = 60.00°, γ = 60.00°
Atoms (fractional coordinates):
Th 0.5000 0.5000 0.5000
Cd 0.7500 0.7500 0.7500
Ni 0.2500 0.2500 0.2500
In 0.0000 0.0000 0.0000

***

No. 4
A geometry-optimized Tl2CdInNi structure. Source: the Alexandria database, functional GGA-PBE.

Calculated values
DFT total energy: -2.74 eV per atom
ΔH_f (0 K): 0.094 eV/atom
D(E_F): 0.291 states/eV per atom
Space group: No. 123

a = 5.1381 Å, b = 5.1381 Å, c = 5.0580 Å
α = 90.00°, β = 90.00°, γ = 90.00°
Atoms (fractional coordinates):
Tl 0.0000 0.5000 0.0000
Tl 0.5000 0.0000 0.0000
Ni 0.0000 0.0000 0.0000
In 0.0000 0.0000 0.5000
Cd 0.5000 0.5000 0.5000

***

No. 5
A geometry-optimized TmCdInNi structure. Source: the Alexandria database, functional GGA-PBE.

Calculated values
DFT total energy: -3.71 eV per atom
ΔH_f (0 K): -0.238 eV/atom
D(E_F): 0.643 states/eV per atom
Space group: No. 216

a = 4.8186 Å, b = 4.8186 Å, c = 4.8186 Å
α = 60.00°, β = 60.00°, γ = 60.00°
Atoms (fractional coordinates):
Cd 0.0000 0.0000 0.0000
In 0.2500 0.2500 0.2500
Ni 0.5000 0.5000 0.5000
Tm 0.7500 0.7500 0.7500

***

No. 6
A geometry-optimized YCdInNi structure. Source: the Alexandria database, functional GGA-PBE.

Calculated values
DFT total energy: -4.23 eV per atom
ΔH_f (0 K): -0.252 eV/atom
D(E_F): 0.652 states/eV per atom
Space group: No. 216

a = 4.8630 Å, b = 4.8630 Å, c = 4.8630 Å
α = 60.00°, β = 60.00°, γ = 60.00°
Atoms (fractional coordinates):
Y 0.7500 0.7500 0.7500
Ni 0.0000 0.0000 0.0000
Cd 0.5000 0.5000 0.5000
In 0.2500 0.2500 0.2500

***

No. 7
A geometry-optimized ZrCdInNi structure. Source: the Alexandria database, functional GGA-PBE.

Calculated values
DFT total energy: -4.60 eV per atom
ΔH_f (0 K): -0.106 eV/atom
D(E_F): 0.520 states/eV per atom
Space group: No. 216

a = 4.7268 Å, b = 4.7268 Å, c = 4.7268 Å
α = 60.00°, β = 60.00°, γ = 60.00°
Atoms (fractional coordinates):
Ni 0.7500 0.7500 0.7500
In 0.0000 0.0000 0.0000
Zr 0.5000 0.5000 0.5000
Cd 0.2500 0.2500 0.2500

***

No. 8
A geometry-optimized NpCdIn2 structure. Source: the Alexandria database, functional GGA-PBE.

Calculated values
Energy relative to the lowest polymorph listed for this composition: 59 meV per atom
DFT total energy: -4.69 eV per atom
ΔH_f (0 K): 0.141 eV/atom
D(E_F): 1.175 states/eV per atom
Space group: No. 166

a = 3.1837 Å, b = 3.1837 Å, c = 10.9725 Å
α = 81.66°, β = 81.66°, γ = 60.00°
Atoms (fractional coordinates):
Np 0.5000 0.5000 0.5000
In 0.7470 0.7470 0.7589
In 0.2530 0.2530 0.2411
Cd 0.0000 0.0000 0.0000

***

No. 9
A geometry-optimized NpCdIn structure. Source: the Alexandria database, functional GGA-PBE.

Calculated values
DFT total energy: -5.47 eV per atom
ΔH_f (0 K): 0.065 eV/atom
D(E_F): 1.314 states/eV per atom
Space group: No. 11

a = 3.5222 Å, b = 5.4000 Å, c = 7.3603 Å
α = 98.84°, β = 90.00°, γ = 90.00°
Atoms (fractional coordinates):
Np 0.7500 0.9734 0.8907
Np 0.2500 0.0266 0.1093
Cd 0.2500 0.7698 0.5054
Cd 0.7500 0.2302 0.4946
In 0.2500 0.4588 0.8219
In 0.7500 0.5412 0.1781

***

No. 10
A geometry-optimized NpCdIn structure. Source: the Alexandria database, functional GGA-PBE.

Calculated values
DFT total energy: -5.37 eV per atom
ΔH_f (0 K): 0.157 eV/atom
D(E_F): 1.993 states/eV per atom
Space group: No. 107

a = 3.1479 Å, b = 3.1479 Å, c = 7.6153 Å
α = 101.93°, β = 101.93°, γ = 90.00°
Atoms (fractional coordinates):
In 0.6702 0.6702 0.3404
Np 0.0000 0.0000 0.0000
Cd 0.3298 0.3298 0.6596

***

No. 11
A geometry-optimized NpCdIn2 structure. Source: the Alexandria database, functional GGA-PBE.

Calculated values
Energy relative to the lowest polymorph listed for this composition: 52 meV per atom
DFT total energy: -4.70 eV per atom
ΔH_f (0 K): 0.134 eV/atom
D(E_F): 1.591 states/eV per atom
Space group: No. 123

a = 3.1451 Å, b = 3.1451 Å, c = 9.8261 Å
α = 90.00°, β = 90.00°, γ = 90.00°
Atoms (fractional coordinates):
In 0.0000 0.0000 0.7556
In 0.0000 0.0000 0.2444
Np 0.5000 0.5000 0.5000
Cd 0.5000 0.5000 0.0000

***

No. 12
A geometry-optimized NpCdIn structure. Source: the Alexandria database, functional GGA-PBE.

Calculated values
DFT total energy: -5.35 eV per atom
ΔH_f (0 K): 0.181 eV/atom
D(E_F): 1.263 states/eV per atom
Space group: No. 156

a = 3.0637 Å, b = 3.0637 Å, c = 8.4733 Å
α = 90.00°, β = 90.00°, γ = 120.00°
Atoms (fractional coordinates):
Np 0.0000 0.0000 0.9996
Cd 0.3333 0.6667 0.6634
In 0.6667 0.3333 0.3370

***

No. 13
A geometry-optimized NpCd23In6 structure. Source: the Alexandria database, functional GGA-PBE.

Calculated values
DFT total energy: -1.61 eV per atom
ΔH_f (0 K): 0.070 eV/atom
D(E_F): 0.698 states/eV per atom
Space group: No. 225

a = 10.1251 Å, b = 10.1251 Å, c = 10.1251 Å
α = 60.00°, β = 60.00°, γ = 60.00°
Atoms (fractional coordinates):
Cd 0.1275 0.1275 0.6174
Cd 0.6174 0.1275 0.1275
Cd 0.3560 0.9321 0.3560
Cd 0.6440 0.6440 0.6440
Cd 0.8725 0.8725 0.8725
Cd 0.0679 0.6440 0.6440
Cd 0.6440 0.6440 0.0679
Cd 0.1275 0.6174 0.1275
Cd 0.0000 0.5000 0.0000
Cd 0.0000 0.0000 0.0000
Cd 0.5000 0.0000 0.0000
Cd 0.8725 0.8725 0.3826
Cd 0.0000 0.5000 0.5000
Cd 0.6440 0.0679 0.6440
Cd 0.5000 0.5000 0.0000
Cd 0.0000 0.0000 0.5000
Cd 0.9321 0.3560 0.3560
Cd 0.1275 0.1275 0.1275
Cd 0.3560 0.3560 0.3560
Cd 0.3826 0.8725 0.8725
Cd 0.5000 0.0000 0.5000
Cd 0.3560 0.3560 0.9321
Cd 0.8725 0.3826 0.8725
Np 0.5000 0.5000 0.5000
In 0.7331 0.7331 0.2669
In 0.2669 0.7331 0.2669
In 0.2669 0.7331 0.7331
In 0.7331 0.2669 0.2669
In 0.7331 0.2669 0.7331
In 0.2669 0.2669 0.7331

***

No. 14
A geometry-optimized NpCdIn2 structure. Source: the Alexandria database, functional GGA-PBE.

Calculated values
Energy relative to the lowest polymorph listed for this composition: 133 meV per atom
DFT total energy: -4.62 eV per atom
ΔH_f (0 K): 0.215 eV/atom
D(E_F): 2.535 states/eV per atom
Space group: No. 216

a = 5.2270 Å, b = 5.2270 Å, c = 5.2284 Å
α = 60.01°, β = 60.01°, γ = 60.00°
Atoms (fractional coordinates):
Cd 0.7499 0.7499 0.7502
In 0.2501 0.2501 0.2498
In 0.0000 0.0000 0.0000
Np 0.5000 0.5000 0.5000

***

No. 15
A geometry-optimized Np2CdIn9 structure. Source: the Alexandria database, functional GGA-PBE.

Calculated values
DFT total energy: -4.24 eV per atom
ΔH_f (0 K): 0.042 eV/atom
D(E_F): 2.120 states/eV per atom
Space group: No. 123

a = 4.6342 Å, b = 4.6342 Å, c = 14.1567 Å
α = 90.00°, β = 90.00°, γ = 90.00°
Atoms (fractional coordinates):
In 0.0000 0.5000 0.5000
In 0.0000 0.5000 0.1672
In 0.5000 0.5000 0.0000
In 0.5000 0.0000 0.1672
In 0.5000 0.0000 0.5000
In 0.5000 0.5000 0.3392
In 0.5000 0.5000 0.6608
In 0.5000 0.0000 0.8328
In 0.0000 0.5000 0.8328
Np 0.0000 0.0000 0.6664
Np 0.0000 0.0000 0.3336
Cd 0.0000 0.0000 0.0000

***

No. 16
A geometry-optimized NpCd4In structure. Source: the Alexandria database, functional GGA-PBE.

Calculated values
DFT total energy: -3.01 eV per atom
ΔH_f (0 K): 0.211 eV/atom
D(E_F): 1.712 states/eV per atom
Space group: No. 216

a = 5.9541 Å, b = 5.9541 Å, c = 5.9541 Å
α = 60.00°, β = 60.00°, γ = 60.00°
Atoms (fractional coordinates):
Cd 0.1262 0.6246 0.6246
Cd 0.6246 0.6246 0.6246
Cd 0.6246 0.6246 0.1262
Cd 0.6246 0.1262 0.6246
Np 0.2500 0.2500 0.2500
In 0.0000 0.0000 0.0000

***

No. 17
A geometry-optimized NpCdIn2 structure. Source: the Alexandria database, functional GGA-PBE.

Calculated values
Energy relative to the lowest polymorph listed for this composition: 0 meV per atom
DFT total energy: -4.75 eV per atom
ΔH_f (0 K): 0.082 eV/atom
D(E_F): 2.468 states/eV per atom
Space group: No. 123

a = 4.4882 Å, b = 4.7226 Å, c = 4.7226 Å
α = 90.00°, β = 90.00°, γ = 90.00°
Atoms (fractional coordinates):
In 0.0000 0.0000 0.5000
In 0.0000 0.5000 0.0000
Cd 0.5000 0.0000 0.0000
Np 0.5000 0.5000 0.5000

***

No. 18
A geometry-optimized NpCdIn2 structure. Source: the Alexandria database, functional GGA-PBE.

Calculated values
Energy relative to the lowest polymorph listed for this composition: 100 meV per atom
DFT total energy: -4.65 eV per atom
ΔH_f (0 K): 0.182 eV/atom
D(E_F): 2.488 states/eV per atom
Space group: No. 225

a = 5.2232 Å, b = 5.2232 Å, c = 5.2232 Å
α = 60.00°, β = 60.00°, γ = 60.00°
Atoms (fractional coordinates):
Cd 0.0000 0.0000 0.0000
Np 0.5000 0.5000 0.5000
In 0.7500 0.7500 0.7500
In 0.2500 0.2500 0.2500

***

No. 19
A geometry-optimized NpCdInO6 structure. Source: the Alexandria database, functional GGA-PBE.

Calculated values
DFT total energy: -7.00 eV per atom
Space group: No. 163

a = 5.5636 Å, b = 5.5636 Å, c = 9.6756 Å
α = 90.00°, β = 90.00°, γ = 120.00°
Atoms (fractional coordinates):
O 0.3411 0.9781 0.6354
O 0.6589 0.0219 0.3646
O 0.3411 0.3631 0.8646
O 0.9781 0.3411 0.1354
O 0.9781 0.6369 0.3646
O 0.6369 0.6589 0.6354
O 0.0219 0.3631 0.6354
O 0.3631 0.3411 0.3646
O 0.3631 0.0219 0.1354
O 0.6589 0.6369 0.1354
O 0.6369 0.9781 0.8646
O 0.0219 0.6589 0.8646
Cd 0.0000 0.0000 0.0000
Cd 0.0000 0.0000 0.5000
In 0.3333 0.6667 0.2500
In 0.6667 0.3333 0.7500
Np 0.3333 0.6667 0.7500
Np 0.6667 0.3333 0.2500

***

No. 20
A geometry-optimized NpCdInSn structure. Source: the Alexandria database, functional GGA-PBE.

Calculated values
DFT total energy: -5.18 eV per atom
ΔH_f (0 K): -0.027 eV/atom
D(E_F): 2.486 states/eV per atom
Space group: No. 47

a = 4.6015 Å, b = 4.4360 Å, c = 4.8718 Å
α = 90.00°, β = 90.00°, γ = 90.00°
Atoms (fractional coordinates):
Np 0.5000 0.0000 0.5000
In 0.5000 0.5000 0.0000
Sn 0.0000 0.5000 0.5000
Cd 0.0000 0.0000 0.0000